Entry from Alexandria: a relaxed Nd2HoHg2 crystal (PBE).

Results
total magnetic moment	0.071	μB/atom
E_form	-366	meV per atom
excess energy over the best structure of this formula in the dataset	0.0	meV per atom
space group	No. 11

a b c (Å): 3.7786 5.3622 14.2282
angles (deg): 90.00 97.60 90.00
With the nearest neighbours (Å) after each atom.
Fractional coordinates of all 10 atoms:
Hg: 0.5573 0.2500 0.1120  2 Ho 3.18, 6 Nd 3.30-3.42
Nd: 0.2329 0.7500 0.4679  2 Hg 3.24, 4 Nd 3.40-3.41
Hg: 0.4427 0.7500 0.8880  2 Ho 3.18, 6 Nd 3.30-3.42
Ho: 0.8524 0.7500 0.7067  6 Hg 3.18-3.29
Nd: 0.7671 0.2500 0.5321  2 Hg 3.24, 4 Nd 3.40-3.41
Ho: 0.1476 0.2500 0.2933  6 Hg 3.18-3.29
Hg: 0.3597 0.2500 0.7187  4 Nd 3.24-3.31, 4 Ho 3.28-3.29, 2 Hg 3.59
Hg: 0.6403 0.7500 0.2813  4 Nd 3.24-3.31, 4 Ho 3.28-3.29, 2 Hg 3.59
Nd: 0.0458 0.7500 0.0892  8 Hg 3.30-3.42, 2 Nd 3.68
Nd: 0.9542 0.2500 0.9108  8 Hg 3.30-3.42, 2 Nd 3.68

---

Entry from Alexandria: a relaxed YHg2BCl crystal (PBE).

Results
total magnetic moment	0.000	μB/atom
E_form (uncorrected)	-0.224	eV/atom
space group	No. 123

a b c (Å): 4.4261 5.5075 4.4261
angles (deg): 90.00 90.00 90.00
With the nearest neighbours (Å) after each atom.
Fractional coordinates of all 5 atoms:
Y: 0.0000 0.5000 0.0000  2 B 2.75
Hg: 0.0000 0.0000 0.5000  2 B 2.21
B: 0.0000 0.0000 0.0000  4 Hg 2.21
Hg: 0.5000 0.0000 0.0000  2 B 2.21
Cl: 0.5000 0.5000 0.5000  4 Y 3.13

---

Entry from Alexandria: a relaxed V2TcTe6 crystal (PBE).

Results
total magnetic moment	0.307	μB/atom
E_form (uncorrected)	-0.057	eV/atom
space group	No. 15

a b c (Å): 6.9063 8.3725 8.3725
angles (deg): 89.50 99.92 99.92
With the nearest neighbours (Å) after each atom.
Fractional coordinates of all 18 atoms:
Te: 0.0085 0.4571 0.3274  2 V 2.71-2.77, 1 Te 3.01
Tc: 0.7500 0.9167 0.0833  6 Te 2.72-2.75
Te: 0.9915 0.5429 0.6726  2 V 2.71-2.77, 1 Te 3.01
V: 0.1458 0.1665 0.3137  6 Te 2.65-2.87
V: 0.6458 0.3137 0.1665  6 Te 2.65-2.87
Te: 0.5085 0.3274 0.4571  2 V 2.71-2.77, 1 Te 3.01
Te: 0.5452 0.9794 0.7835  2 V 2.65-2.87, 2 Tc 2.75
Te: 0.4548 0.0206 0.2165  2 V 2.65-2.87, 2 Tc 2.75
V: 0.8542 0.8335 0.6863  6 Te 2.65-2.87
Te: 0.4915 0.6726 0.5429  2 V 2.71-2.77, 1 Te 3.01
Te: 0.0452 0.7835 0.9794  2 V 2.65-2.87, 2 Tc 2.75
Tc: 0.2500 0.0833 0.9167  6 Te 2.72-2.75
Te: 0.9548 0.2165 0.0206  2 V 2.65-2.87, 2 Tc 2.75
Te: 0.5304 0.6250 0.1357  2 V 2.70-2.85, 1 Tc 2.72
Te: 0.4696 0.3750 0.8643  2 V 2.70-2.85, 1 Tc 2.72
Te: 0.0304 0.1357 0.6250  2 V 2.70-2.85, 1 Tc 2.72
Te: 0.9696 0.8643 0.3750  2 V 2.70-2.85, 1 Tc 2.72
V: 0.3542 0.6863 0.8335  6 Te 2.65-2.87

---

Entry from Alexandria: a relaxed TbYScRh crystal (PBE).

Results
total magnetic moment	0.001	μB/atom
E_form	-186	meV per atom
space group	No. 216

a b c (Å): 5.0906 5.0906 5.0906
angles (deg): 60.00 60.00 60.00
With the nearest neighbours (Å) after each atom.
Fractional coordinates of all 4 atoms:
Sc: 0.0000 0.0000 0.0000  4 Y 3.12, 4 Tb 3.12
Tb: 0.7500 0.7500 0.7500  4 Sc 3.12, 4 Rh 3.12
Y: 0.2500 0.2500 0.2500  4 Rh 3.12, 4 Sc 3.12
Rh: 0.5000 0.5000 0.5000  4 Tb 3.12, 4 Y 3.12

---

Entry from Alexandria: a relaxed RbLa3Hg crystal (PBE).

Results
total magnetic moment	0.301	μB/atom
E_form	263	meV per atom
excess energy over the best structure of this formula in the dataset	0.0	meV per atom
space group	No. 221

a b c (Å): 6.1667 6.1667 6.1667
angles (deg): 90.00 90.00 90.00
With the nearest neighbours (Å) after each atom.
Fractional coordinates of all 5 atoms:
La: 0.0000 0.5000 0.0000  2 Hg 3.08
Rb: 0.5000 0.5000 0.5000  12 La 4.36
Hg: 0.0000 0.0000 0.0000  6 La 3.08
La: 0.5000 0.0000 0.0000  2 Hg 3.08
La: 0.0000 0.0000 0.5000  2 Hg 3.08

---

Entry from Alexandria: a relaxed Sc6CdNi5 crystal (PBE).

Results
total magnetic moment	0.000	μB/atom
E_form	-421	meV per atom
space group	No. 10

a b c (Å): 4.5603 6.5366 7.2086
angles (deg): 90.00 108.86 90.00
With the nearest neighbours (Å) after each atom.
Fractional coordinates of all 12 atoms:
Ni: 0.3392 0.5000 0.6702  8 Sc 2.71-2.79
Sc: 0.5000 0.2678 0.0000  6 Ni 2.71-2.84, 2 Cd 2.87, 1 Sc 3.04
Sc: 0.8280 0.2574 0.6534  7 Ni 2.72-2.85, 1 Cd 2.90
Sc: 0.5000 0.7322 0.0000  6 Ni 2.71-2.84, 2 Cd 2.87, 1 Sc 3.04
Sc: 0.1720 0.7426 0.3466  7 Ni 2.72-2.85, 1 Cd 2.90
Sc: 0.8280 0.7426 0.6534  7 Ni 2.72-2.85, 1 Cd 2.90
Ni: 0.0000 0.5000 0.0000  8 Sc 2.74-2.85
Ni: 0.6608 0.5000 0.3298  8 Sc 2.71-2.79
Ni: 0.6616 0.0000 0.3287  8 Sc 2.78-2.84
Ni: 0.3384 0.0000 0.6713  8 Sc 2.78-2.84
Sc: 0.1720 0.2574 0.3466  7 Ni 2.72-2.85, 1 Cd 2.90
Cd: 0.0000 0.0000 0.0000  8 Sc 2.87-2.90, 4 Ni 3.18-3.22

---

Entry from Alexandria: a relaxed LiLaSCl2 crystal (PBE).

Results
total magnetic moment	0.000	μB/atom
E_form (uncorrected)	-1.745	eV/atom
excess energy over the best structure of this formula in the dataset	0.0	meV per atom
space group	No. 123

a b c (Å): 4.4858 4.4858 5.0966
angles (deg): 90.00 90.00 90.00
With the nearest neighbours (Å) after each atom.
Fractional coordinates of all 5 atoms:
Cl: 0.5000 0.0000 0.0000  2 Li 2.24
Cl: 0.0000 0.5000 0.0000  2 Li 2.24
Li: 0.0000 0.0000 0.0000  4 Cl 2.24
La: 0.5000 0.5000 0.5000  4 S 3.17, 8 Cl 3.39
S: 0.0000 0.0000 0.5000  2 Li 2.55

---

Entry from Alexandria: a relaxed CaHgMo2 crystal (PBE).

Results
total magnetic moment	0.000	μB/atom
E_form	250	meV per atom
space group	No. 99

a b c (Å): 3.3125 3.3132 7.6056
angles (deg): 90.00 90.00 90.00
With the nearest neighbours (Å) after each atom.
Fractional coordinates of all 4 atoms:
Hg: 0.5000 0.5000 0.7814  5 Mo 3.05-3.12, 4 Ca 3.23, 4 Hg 3.31
Ca: 0.0000 0.0000 0.4890  4 Hg 3.23, 5 Mo 3.26-3.43, 4 Ca 3.31
Mo: 0.5000 0.5000 0.1912  4 Mo 2.62
Mo: 0.0000 0.0000 0.0384  4 Mo 2.62

---

Entry from Alexandria: a relaxed Mg3Ge2Rh crystal (PBE).

Results
total magnetic moment	0.000	μB/atom
E_form	-339	meV per atom
space group	No. 14

a b c (Å): 7.2005 8.2362 10.1011
angles (deg): 90.00 132.73 90.00
With the nearest neighbours (Å) after each atom.
Fractional coordinates of all 24 atoms:
Ge: 0.5880 0.3441 0.5685  3 Rh 2.56-2.64, 4 Mg 2.68-2.84, 1 Ge 2.78
Mg: 0.2358 0.0624 0.3996  3 Rh 2.76-2.89, 4 Ge 2.84-2.97, 2 Mg 3.03-3.06
Ge: 0.7883 0.9318 0.3206  1 Rh 2.59, 4 Mg 2.70-2.80
Ge: 0.2117 0.0682 0.6794  1 Rh 2.59, 4 Mg 2.70-2.80
Rh: 0.1390 0.3911 0.2650  4 Ge 2.56-2.64, 3 Mg 2.71-2.77
Mg: 0.9147 0.7180 0.1852  4 Ge 2.68-2.75, 1 Rh 2.96
Ge: 0.2883 0.5682 0.8206  1 Rh 2.59, 4 Mg 2.70-2.80
Mg: 0.2642 0.5624 0.1004  3 Rh 2.76-2.89, 4 Ge 2.84-2.97, 2 Mg 3.03-3.06
Rh: 0.3610 0.8911 0.2350  4 Ge 2.56-2.64, 3 Mg 2.71-2.77
Ge: 0.0880 0.1559 0.0685  3 Rh 2.56-2.64, 4 Mg 2.68-2.84, 1 Ge 2.78
Ge: 0.7117 0.4318 0.1794  1 Rh 2.59, 4 Mg 2.70-2.80
Mg: 0.8121 0.6345 0.4446  4 Ge 2.70-2.97, 1 Rh 2.71
Mg: 0.7358 0.4376 0.8996  3 Rh 2.76-2.89, 4 Ge 2.84-2.97, 2 Mg 3.03-3.06
Ge: 0.4120 0.6559 0.4315  3 Rh 2.56-2.64, 4 Mg 2.68-2.84, 1 Ge 2.78
Rh: 0.6390 0.1089 0.7650  4 Ge 2.56-2.64, 3 Mg 2.71-2.77
Rh: 0.8610 0.6089 0.7350  4 Ge 2.56-2.64, 3 Mg 2.71-2.77
Mg: 0.4147 0.7820 0.6852  4 Ge 2.68-2.75, 1 Rh 2.96
Mg: 0.5853 0.2180 0.3148  4 Ge 2.68-2.75, 1 Rh 2.96
Mg: 0.3121 0.8655 0.9446  4 Ge 2.70-2.97, 1 Rh 2.71
Mg: 0.0853 0.2820 0.8148  4 Ge 2.68-2.75, 1 Rh 2.96
Ge: 0.9120 0.8441 0.9315  3 Rh 2.56-2.64, 4 Mg 2.68-2.84, 1 Ge 2.78
Mg: 0.7642 0.9376 0.6004  3 Rh 2.76-2.89, 4 Ge 2.84-2.97, 2 Mg 3.03-3.06
Mg: 0.6879 0.1345 0.0554  4 Ge 2.70-2.97, 1 Rh 2.71
Mg: 0.1879 0.3655 0.5554  4 Ge 2.70-2.97, 1 Rh 2.71

---

Entry from Alexandria: a relaxed Pu2Ga4NiAu3 crystal (PBE).

Results
total magnetic moment	1.108	μB/atom
E_form	-377	meV per atom
space group	No. 115

a b c (Å): 4.2128 4.2128 11.1332
angles (deg): 90.00 90.00 90.00
With the nearest neighbours (Å) after each atom.
Fractional coordinates of all 10 atoms:
Au: 0.0000 0.5000 0.1451  5 Ga 2.55-2.65
Ni: 0.5000 0.5000 0.5000  4 Ga 2.53
Au: 0.5000 0.0000 0.8549  5 Ga 2.55-2.65
Ga: 0.5000 0.5000 0.0000  4 Au 2.65
Au: 0.0000 0.0000 0.5000  4 Ga 2.53
Pu: 0.5000 0.0000 0.2620  8 Ga 3.23-3.60, 6 Au 3.25-3.39, 2 Ni 3.39
Ga: 0.0000 0.0000 0.0000  4 Au 2.65
Ga: 0.0000 0.5000 0.3742  2 Ni 2.53, 3 Au 2.53-2.55
Ga: 0.5000 0.0000 0.6258  2 Ni 2.53, 3 Au 2.53-2.55
Pu: 0.0000 0.5000 0.7380  8 Ga 3.23-3.60, 6 Au 3.25-3.39, 2 Ni 3.39

---

Entry from Alexandria: a relaxed Zn2TcTe crystal (PBE).

Results
total magnetic moment	0.000	μB/atom
E_form (uncorrected)	0.199	eV/atom
space group	No. 25

a b c (Å): 3.4140 3.3937 6.8714
angles (deg): 60.36 90.00 90.00
With the nearest neighbours (Å) after each atom.
Fractional coordinates of all 4 atoms:
Zn: 0.0000 0.9603 0.0397  1 Tc 2.64, 4 Zn 2.71-2.72
Tc: 0.0000 0.5176 0.4825  5 Zn 2.64-2.78, 4 Te 2.82
Te: 0.5000 0.7718 0.7279  4 Tc 2.82, 6 Zn 2.85-3.12
Zn: 0.5000 0.2503 0.2500  4 Zn 2.71-2.72, 4 Tc 2.78, 1 Te 2.85

---

Entry from Alexandria: a relaxed Nb2TcGe crystal (PBE).

Results
total magnetic moment	0.000	μB/atom
E_form	344	meV per atom
space group	No. 122

a b c (Å): 7.1075 7.1075 5.7712
angles (deg): 51.99 51.99 90.00
With the nearest neighbours (Å) after each atom.
Fractional coordinates of all 8 atoms:
Nb: 0.3750 0.3649 0.7500  2 Tc 2.56, 2 Ge 2.66, 2 Nb 2.84
Ge: 0.5000 0.5000 0.0000  4 Nb 2.66, 2 Tc 2.84
Nb: 0.8750 0.8851 0.7500  2 Tc 2.56, 2 Ge 2.66, 2 Nb 2.84
Ge: 0.2500 0.7500 0.5000  4 Nb 2.66, 2 Tc 2.84
Tc: 0.0000 0.0000 0.0000  4 Nb 2.56, 2 Ge 2.84
Nb: 0.6351 0.1250 0.2500  2 Tc 2.56, 2 Ge 2.66, 2 Nb 2.84
Tc: 0.7500 0.2500 0.5000  4 Nb 2.56, 2 Ge 2.84
Nb: 0.1149 0.6250 0.2500  2 Tc 2.56, 2 Ge 2.66, 2 Nb 2.84